[1]
Here is crystalline Tm2HfNpN4 at its relaxed geometry from the Alexandria database. Energies are from PBE.

Properties
Formation energy (no corrections), kJ per mole of atoms: -157.4

a = 3.350 Å, b = 5.823 Å, c = 5.808 Å
α = 109.06°, β = 90.00°, γ = 90.00°
Fractional positions:
Tm  0.500  0.000  0.500
Tm  0.000  0.500  0.500
Hf  0.000  0.000  0.000
Np  0.500  0.500  0.000
N  0.500  0.239  0.234
N  0.500  0.761  0.766
N  0.000  0.243  0.759
N  0.000  0.757  0.241



[2]
Here is crystalline YMgPd6 at its relaxed geometry from the Alexandria database. Energies are from PBE.

Properties
Raw total energy, eV per cell: -44.42

a = 4.073 Å, b = 4.073 Å, c = 8.043 Å
α = 90.00°, β = 90.00°, γ = 90.00°
Fractional positions:
Y  0.000  0.000  0.000
Mg  0.000  0.000  0.500
Pd  0.500  0.500  0.000
Pd  0.500  0.500  0.500
Pd  0.500  0.000  0.261
Pd  0.500  0.000  0.739
Pd  0.000  0.500  0.261
Pd  0.000  0.500  0.739



Record-wise Fermi-level density of states values, in states/eV/f.u.: 6.4 8.4